# RbNaTlCl3, relaxed, DFT PBE-GGA
data_RbNaTlCl3
_chemical_formula_sum 'Rb2 Na2 Tl2 Cl6'
_symmetry_space_group_name_H-M 'P 1 21/m 1'
_symmetry_Int_Tables_number 11
_cell_length_a 9.636
_cell_length_b 4.488
_cell_length_c 10.266
_cell_angle_alpha 90.00
_cell_angle_beta 94.74
_cell_angle_gamma 90.00
loop_
_symmetry_equiv_pos_as_xyz
'x,y,z'
'-x,-y,-z'
'-x,y+1/2,-z'
'x,-y+1/2,z'
loop_
_atom_site_label
_atom_site_fract_x
_atom_site_fract_y
_atom_site_fract_z
Rb1 0.151 0.250 0.182
Na1 0.120 0.250 0.592
Tl1 0.371 0.750 0.840
Cl1 0.121 0.250 0.852
Cl2 0.164 0.750 0.458
Cl3 0.394 0.750 0.127
# * DOS(E_F): 0.00 states/eV/cell
# * total magnetic moment: 0.0 μB per formula unit
# * DFT total energy: -3.239 eV per atom
# * raw formation energy: -1.54 eV per atom